YPd: optimized geometry, PBEsol.

```
YPd
1.0
3.6677 0.0000 0.0000
0.0000 10.3685 0.0000
0.0000 0.0000 4.5197
Y Pd
4 4
Cartesian
0.0000 1.4289 1.1299
0.0000 8.9396 3.3897
1.8339 3.7554 3.3897
1.8339 6.6131 1.1299
0.0000 4.3037 1.1299
0.0000 6.0647 3.3897
1.8339 0.8805 3.3897
1.8339 9.4880 1.1299
```

## Properties
The value obtained for the energy relative to the elements is -895.6 meV/atom. Its density of states at the Fermi level is 5.36 states/eV/cell. Its space group is No. 63.